Record 1
This record from Alexandria describes a relaxed K2ScAs2S6 crystal. The functional is PBE.

Values from the calculation:
Electronic total energy   -4.65 eV per atom
SG   C2/m

POSCAR file:
```
K2ScAs2S6
1.0
-2.886 3.894 -5.057
5.588 -3.583 -1.097
-6.697 -4.612 0.271
S K As Sc
6 2 2 1
Direct
0.690 0.897 0.226 S
0.310 0.103 0.774 S
0.207 0.897 0.226 S
0.259 0.519 0.419 S
0.793 0.103 0.774 S
0.741 0.481 0.581 S
0.698 0.397 0.172 K
0.302 0.603 0.828 K
0.947 0.893 0.801 As
0.053 0.107 0.199 As
0.500 0.000 0.500 Sc
```

Record 2
This record from Alexandria describes a relaxed Li2LaTb crystal. The functional is PBE.

Values from the calculation:
Electronic total energy   -3.09 eV per atom
SG   R-3m
Relative energy among the computed polymorphs   100.9 meV per atom
ΔE_f   0.25 eV per atom

POSCAR file:
```
Li2LaTb
1.0
-0.988 2.177 -2.335
-0.061 -0.910 -3.215
-11.784 -3.382 -0.556
Tb Li La
1 2 1
Direct
0.500 0.500 0.500 Tb
0.090 0.090 0.730 Li
0.910 0.910 0.270 Li
0.000 0.000 0.000 La
```

Record 3
This record from Alexandria describes a relaxed TlCdP4 crystal. The functional is PBE.

Values from the calculation:
Electronic total energy   -3.89 eV per atom
SG   F-43m
ΔE_f   0.27 eV per atom

POSCAR file:
```
TlCdP4
1.0
0.000 4.313 4.313
4.313 0.000 4.313
4.313 4.313 0.000
Tl P Cd
1 4 1
Direct
0.750 0.750 0.750 Tl
0.975 0.342 0.342 P
0.342 0.342 0.342 P
0.342 0.342 0.975 P
0.342 0.975 0.342 P
0.000 0.000 0.000 Cd
```